Computed, not measured: an optimized crystal structure of Y2TmZn3 at the PBE level of DFT.

Calculated values
ρ in g/cm3: 6.65
Density of states at the Fermi level in states/eV/f.u.: 6.30
Electronic total energy in eV per atom: -3.893
Calculated formation energy in meV/atom: -356
Crystal system: tetragonal

Cell: 3.5616 3.5616 10.6885 Å, 90.00 90.00 90.00°
Last column: nearest neighbours and their distance in Å.
Space group P4/mmm (No. 123)
Asymmetric unit:
Y 0.0000 0.0000 0.1684 x2  8 Zn 3.10-3.11
Tm 0.0000 0.0000 0.5000 x1  8 Zn 3.05
Zn 0.5000 0.5000 0.0000 x1  8 Y 3.10
Zn 0.5000 0.5000 0.3392 x2  4 Tm 3.05, 4 Y 3.11

Computed, not measured: an optimized crystal structure of YTm2Zn at the PBE level of DFT.

Calculated values
ρ in g/cm3: 7.67
Density of states at the Fermi level in states/eV/f.u.: 4.34
Electronic total energy in eV per atom: -4.338
Polymorph energy (0 for the lowest one) in meV/atom: 1
Calculated formation energy in meV/atom: -168
Crystal system: orthorhombic

Cell: 3.6258 5.2419 11.2126 Å, 90.00 90.00 90.00°
Last column: nearest neighbours and their distance in Å.
Space group Immm (No. 71)
Asymmetric unit:
Y 0.0000 0.0000 0.0000 x2  4 Zn 3.19, 4 Tm 3.55
Tm 0.0000 0.5000 0.2132 x4  2 Zn 3.00, 4 Tm 3.29
Zn 0.0000 0.0000 0.5000 x2  4 Tm 3.00, 4 Y 3.19

Computed, not measured: an optimized crystal structure of YTmZn at the PBE level of DFT.

Calculated values
ρ in g/cm3: 6.99
Density of states at the Fermi level in states/eV/f.u.: 3.87
Electronic total energy in eV per atom: -4.290
Polymorph energy (0 for the lowest one) in meV/atom: 0
Calculated formation energy in meV/atom: -220
Crystal system: tetragonal

Cell: 3.5545 3.5545 12.1601 Å, 90.00 90.00 90.00°
Last column: nearest neighbours and their distance in Å.
Space group I4mm (No. 107)
Asymmetric unit:
Y 0.0000 0.0000 0.0000 x2  4 Zn 3.10
Tm 0.0000 0.0000 0.2865 x2  4 Zn 3.02
Zn 0.0000 0.0000 0.6486 x2  4 Tm 3.02, 4 Y 3.10

Computed, not measured: an optimized crystal structure of YTm4Zn4 at the PBE level of DFT.

Calculated values
ρ in g/cm3: 7.25
Density of states at the Fermi level in states/eV/f.u.: 12.73
Electronic total energy in eV per atom: -3.337
Calculated formation energy in meV/atom: -65
Crystal system: tetragonal

Cell: 9.0184 9.0184 5.7824 Å, 90.00 90.00 90.00°
Last column: nearest neighbours and their distance in Å.
Space group P4_2/n (No. 86, origin choice 2)
Asymmetric unit:
Y 0.2500 0.2500 0.2500 x2  4 Zn 2.85
Tm 0.0752 0.6592 0.1383 x8  5 Zn 2.88-3.07
Zn 0.0238 0.6126 0.6306 x8  1 Zn 2.57, 1 Y 2.85

Computed, not measured: an optimized crystal structure of Y2TmZn2 at the PBE level of DFT.

Calculated values
ρ in g/cm3: 6.34
Density of states at the Fermi level in states/eV/f.u.: 4.50
Electronic total energy in eV per atom: -4.236
Polymorph energy (0 for the lowest one) in meV/atom: 27
Calculated formation energy in meV/atom: -247
Crystal system: tetragonal

Cell: 8.1639 8.1639 3.7520 Å, 90.00 90.00 90.00°
Last column: nearest neighbours and their distance in Å.
Space group P4/mbm (No. 127)
Asymmetric unit:
Y 0.1673 0.3327 0.0000 x4  6 Zn 3.00-3.08
Tm 0.0000 0.0000 0.5000 x2  4 Zn 3.20, 8 Y 3.57
Zn 0.1299 0.6299 0.5000 x4  6 Y 3.00-3.08, 1 Zn 3.00, 2 Tm 3.20

Computed, not measured: an optimized crystal structure of YTmZn at the PBE level of DFT.

Calculated values
ρ in g/cm3: 6.93
Density of states at the Fermi level in states/eV/f.u.: 3.11
Electronic total energy in eV per atom: -4.124
Polymorph energy (0 for the lowest one) in meV/atom: 165
Calculated formation energy in meV/atom: -55
Crystal system: trigonal

Cell: 4.9685 4.9685 3.6245 Å, 90.00 90.00 120.00°
Last column: nearest neighbours and their distance in Å.
Space group P3m1 (No. 156)
Asymmetric unit:
Y 0.0000 0.0000 0.0000 x1  3 Zn 3.10, 6 Tm 3.33-3.46
Tm 0.3333 0.6667 0.5345 x1  3 Zn 2.97
Zn 0.6667 0.3333 0.3212 x1  3 Tm 2.97, 3 Y 3.10

Computed, not measured: an optimized crystal structure of Y4TmZn at the PBE level of DFT.

Calculated values
ρ in g/cm3: 5.63
Density of states at the Fermi level in states/eV/f.u.: 8.09
Electronic total energy in eV per atom: -5.369
Polymorph energy (0 for the lowest one) in meV/atom: 0
Calculated formation energy in meV/atom: -103
Crystal system: tetragonal

Cell: 3.5616 3.5616 13.7167 Å, 90.00 90.00 90.00°
Last column: nearest neighbours and their distance in Å.
Space group P4/mmm (No. 123)
Asymmetric unit:
Y 0.0000 0.0000 0.1298 x2  4 Zn 3.08
Y 0.5000 0.5000 0.3200 x2  4 Tm 3.53, 8 Y 3.56-3.63
Tm 0.0000 0.0000 0.5000 x1  8 Y 3.53, 4 Tm 3.56
Zn 0.5000 0.5000 0.0000 x1  8 Y 3.08

Computed, not measured: an optimized crystal structure of YTm3Zn8 at the PBE level of DFT.

Calculated values
ρ in g/cm3: 8.22
Density of states at the Fermi level in states/eV/f.u.: 8.47
Electronic total energy in eV per atom: -2.832
Calculated formation energy in meV/atom: -327
Crystal system: trigonal

Cell: 5.4923 5.4923 8.6497 Å, 90.00 90.00 120.00°
Last column: nearest neighbours and their distance in Å.
Space group P3m1 (No. 156)
Asymmetric unit:
Y 0.0000 0.0000 0.0000 x1  12 Zn 3.11-3.21, 4 Tm 3.30-3.34
Tm 0.0000 0.0000 0.3816 x1  12 Zn 3.08-3.21, 1 Y 3.30, 3 Tm 3.33
Tm 0.6667 0.3333 0.4988 x1  12 Zn 3.09-3.21, 4 Tm 3.29-3.33
Tm 0.6667 0.3333 0.8791 x1  12 Zn 3.11-3.21, 1 Tm 3.29, 3 Y 3.34
Zn 0.1641 0.3283 0.6886 x3  6 Zn 2.69-2.79
Zn 0.3333 0.6667 0.4399 x1  6 Zn 2.69
Zn 0.3333 0.6667 0.9399 x1  6 Zn 2.70-2.71
Zn 0.5029 0.0058 0.1906 x3  6 Zn 2.69-2.79

Computed, not measured: an optimized crystal structure of YTmZn at the PBE level of DFT.

Calculated values
ρ in g/cm3: 6.68
Density of states at the Fermi level in states/eV/f.u.: 2.65
Electronic total energy in eV per atom: -4.073
Polymorph energy (0 for the lowest one) in meV/atom: 217
Calculated formation energy in meV/atom: -3
Crystal system: tetragonal

Cell: 4.6488 4.6488 7.4377 Å, 90.00 90.00 90.00°
Last column: nearest neighbours and their distance in Å.
Space group P4/nmm (No. 129, origin choice 2)
Asymmetric unit:
Y 0.2500 0.2500 0.1849 x2  4 Zn 3.30, 5 Tm 3.36-3.46
Tm 0.2500 0.2500 0.7199 x2  4 Zn 2.84
Zn 0.2500 0.7500 0.5000 x2  4 Tm 2.84

Computed, not measured: an optimized crystal structure of YTmZn6 at the PBE level of DFT.

Calculated values
ρ in g/cm3: 7.28
Density of states at the Fermi level in states/eV/f.u.: 3.37
Electronic total energy in eV per atom: -2.637
Calculated formation energy in meV/atom: -315
Crystal system: orthorhombic

Cell: 4.3935 6.5554 10.2946 Å, 90.00 90.00 90.00°
Last column: nearest neighbours and their distance in Å.
Space group Amm2 (No. 38)
Asymmetric unit:
Y 0.0000 0.0000 0.0000 x2  12 Zn 2.98-3.28
Tm 0.5000 0.0000 0.7103 x2  12 Zn 2.95-3.28
Zn 0.0000 0.0000 0.5185 x2  6 Zn 2.70-2.91, 2 Tm 2.95
Zn 0.0000 0.2071 0.2687 x4  6 Zn 2.69-2.91, 2 Tm 2.98
Zn 0.5000 0.0000 0.1954 x2  6 Zn 2.69-2.86, 2 Y 2.98
Zn 0.5000 0.2044 0.4406 x4  6 Zn 2.68-2.86, 2 Y 2.99

Computed, not measured: an optimized crystal structure of Y4TmZn at the PBE level of DFT.

Calculated values
ρ in g/cm3: 5.55
Density of states at the Fermi level in states/eV/f.u.: 9.38
Electronic total energy in eV per atom: -5.270
Polymorph energy (0 for the lowest one) in meV/atom: 100
Calculated formation energy in meV/atom: -3
Crystal system: monoclinic

Cell: 8.8278 13.5578 6.2344 Å, 90.00 108.79 90.00°
Last column: nearest neighbours and their distance in Å.
Space group C2/c (No. 15)
Asymmetric unit:
Y 0.1033 0.1831 0.0496 x8  2 Zn 3.04-3.07, 2 Y 3.34-3.38
Y 0.2222 0.3918 0.3736 x8  2 Zn 3.15-3.16, 2 Y 3.34-3.44, 2 Tm 3.36-3.51
Tm 0.0000 0.4021 0.7500 x4  10 Y 3.36-3.75
Zn 0.0000 0.0007 0.2500 x4  8 Y 3.04-3.16, 2 Zn 3.12

Repeat the fifth record exactly.
Computed, not measured: an optimized crystal structure of Y2TmZn2 at the PBE level of DFT.

Calculated values
ρ in g/cm3: 6.34
Density of states at the Fermi level in states/eV/f.u.: 4.50
Electronic total energy in eV per atom: -4.236
Polymorph energy (0 for the lowest one) in meV/atom: 27
Calculated formation energy in meV/atom: -247
Crystal system: tetragonal

Cell: 8.1639 8.1639 3.7520 Å, 90.00 90.00 90.00°
Last column: nearest neighbours and their distance in Å.
Space group P4/mbm (No. 127)
Asymmetric unit:
Y 0.1673 0.3327 0.0000 x4  6 Zn 3.00-3.08
Tm 0.0000 0.0000 0.5000 x2  4 Zn 3.20, 8 Y 3.57
Zn 0.1299 0.6299 0.5000 x4  6 Y 3.00-3.08, 1 Zn 3.00, 2 Tm 3.20

- Which value of electronic total energy does entry 2 give?
  -4.338 eV per atom

- What is the formula in the seventh record?
  Y4TmZn

- Which of these has the highest density of states at the Fermi level?
  YTm4Zn4